Entry from Alexandria via LeMat-Bulk: SrAg2F6 after structural relaxation (PBE).

Structure (POSCAR):
```
SrAg2F6
1.0
5.786 -0.417 0.694
0.491 7.283 1.253
-0.702 0.834 7.325
Sr Ag F
2 4 12
Cartesian
0.978 1.991 6.311 Sr
4.597 5.709 2.961 Sr
1.179 5.382 7.384 Ag
1.242 1.118 2.867 Ag
4.395 2.318 1.888 Ag
4.333 6.582 6.404 Ag
3.037 6.142 4.807 F
5.850 3.616 2.677 F
2.537 1.558 4.465 F
-0.275 4.084 6.594 F
5.834 5.968 5.070 F
3.071 3.890 2.320 F
-0.259 1.732 4.202 F
2.503 3.810 6.952 F
-0.172 7.126 7.546 F
2.852 0.770 1.390 F
5.747 0.574 1.726 F
2.723 6.930 7.881 F
```

Offset from the most stable computed form, meV per atom: 5
ΔE_f (raw), eV/atom: -1.99